This record from Alexandria describes crystalline ZnCrHgF6 at its relaxed geometry. The functional is GGA+U.

Total magnetic moment: 7.6 Bohr magnetons per cell
Electronic total energy: -79.2 eV per cell

Lattice parameters (Å, degrees): 5.4303 5.4303 11.1470 90.00 90.00 120.00
Space group P-31c (No. 163)
One atom of each set of equivalent atoms:
Zn1 0.3333 0.6667 0.2500
Cr1 0.3333 0.6667 0.7500
Hg1 0.0000 0.0000 0.0000
F1 0.0163 0.3820 0.6536